(1)
{
  "formula": "Rb2PrAgI6",
  "functional": "PBE",
  "state": "optimized geometry",
  "dos_ef_per_ev_atom": 0.000,
  "e_form_raw_ev_per_atom": -1.1717,
  "e_above_lowest_polymorph_mev_per_atom": 34.0,
  "vol_a3_per_atom": 46.7,
  "magmom_total_mub_per_fu": 0.00,
  "cell": [[0.000, 6.158, 6.158], [6.158, 0.000, 6.158], [6.158, 6.158, 0.000]],
  "species": ["Rb", "Rb", "Pr", "Ag", "I", "I", "I", "I", "I", "I"],
  "fractional_positions": [[0.250, 0.250, 0.250], [0.750, 0.750, 0.750], [0.000, 0.000, 0.000], [0.500, 0.500, 0.500], [0.254, 0.254, 0.746], [0.254, 0.746, 0.254], [0.254, 0.746, 0.746], [0.746, 0.254, 0.254], [0.746, 0.254, 0.746], [0.746, 0.746, 0.254]]
}

(2)
{
  "formula": "LaErCd",
  "functional": "PBE",
  "state": "optimized geometry",
  "dos_ef_per_ev_atom": 1.187,
  "e_above_lowest_polymorph_mev_per_atom": 0.0,
  "ef_ev_per_atom": -0.191,
  "vol_a3_per_atom": 30.1,
  "magmom_total_mub_per_fu": 0.54,
  "cell": [[-1.861, 1.861, 6.528], [1.861, -1.861, 6.528], [1.861, 1.861, -6.528]],
  "species": ["La", "Er", "Cd"],
  "fractional_positions": [[0.000, 0.000, 0.000], [0.310, 0.310, 0.000], [0.672, 0.672, 0.000]]
}

(3)
{
  "formula": "LiEuMnRh",
  "functional": "PBE",
  "state": "optimized geometry",
  "dos_ef_per_ev_atom": 3.088,
  "ef_ev_per_atom": 0.024,
  "vol_a3_per_atom": 18.9,
  "magmom_total_mub_per_fu": 11.37,
  "cell": [[0.000, 3.354, 3.354], [3.354, 0.000, 3.354], [3.354, 3.354, 0.000]],
  "species": ["Li", "Eu", "Mn", "Rh"],
  "fractional_positions": [[0.000, 0.000, 0.000], [0.250, 0.250, 0.250], [0.750, 0.750, 0.750], [0.500, 0.500, 0.500]]
}

(4)
{
  "formula": "LiFe2Cl",
  "functional": "PBE",
  "state": "optimized geometry",
  "dos_ef_per_ev_atom": 0.427,
  "e_form_raw_ev_per_atom": -0.0257,
  "e_above_lowest_polymorph_mev_per_atom": 157.0,
  "vol_a3_per_atom": 15.0,
  "magmom_total_mub_per_fu": 5.64,
  "cell": [[1.694, -2.403, 0.000], [1.694, 2.403, 0.000], [0.000, 0.000, 7.365]],
  "species": ["Li", "Fe", "Fe", "Cl"],
  "fractional_positions": [[0.000, 0.000, 0.000], [0.000, 0.000, 0.484], [0.500, 0.500, 0.701], [0.500, 0.500, 0.211]]
}